VASP calculation (PBE) on an optimized crystal structure of NpHgPd.

## Properties
Size of the total moment in μB/cell: 4.4
Final energy in eV for the cell shown: -18.7
ΔH_f (0 K) in eV/atom: -0.083

```
data_NpHgPd
_chemical_formula_sum 'Np1 Hg1 Pd1'
_cell_length_a 4.9445
_cell_length_b 4.9445
_cell_length_c 2.9760
_cell_angle_alpha 90.00
_cell_angle_beta 90.00
_cell_angle_gamma 120.00
_space_group_name_H-M_alt 'P -6 m 2'
_space_group_IT_number 187
_space_group_name_Hall 'P -6 2'
loop_
_atom_site_label
_atom_site_fract_x
_atom_site_fract_y
_atom_site_fract_z
Np1 0.0000 0.0000 0.0000
Hg1 0.6667 0.3333 0.5000
Pd1 0.3333 0.6667 0.5000
```

---

VASP calculation (PBE) on an optimized crystal structure of HfBCl2O.

## Properties
Energy relative to the elements, uncorrected in eV/atom: -0.28
Size of the total moment in μB/cell: 0.0
Final energy in eV for the cell shown: -26.7

```
data_HfBCl2O
_chemical_formula_sum 'Hf1 B1 Cl2 O1'
_cell_length_a 5.194
_cell_length_b 5.194
_cell_length_c 2.801
_cell_angle_alpha 90.00
_cell_angle_beta 90.00
_cell_angle_gamma 90.00
_space_group_name_H-M_alt 'P 4/m m m'
_space_group_IT_number 123
_space_group_name_Hall '-P 4 2'
loop_
_atom_site_label
_atom_site_fract_x
_atom_site_fract_y
_atom_site_fract_z
Hf1 0.000 0.000 0.000
B1 0.500 0.500 0.500
Cl1 0.000 0.500 0.500
O1 0.500 0.500 0.000
```

---

VASP calculation (PBE) on an optimized crystal structure of LiPr2Ag5.

## Properties
Size of the total moment in μB/cell: 0.0
Final energy in eV for the cell shown: -54.2
ΔH_f (0 K) in eV/atom: -0.174

```
data_LiPr2Ag5
_chemical_formula_sum 'Li2 Pr4 Ag10'
_cell_length_a 4.991
_cell_length_b 4.991
_cell_length_c 14.228
_cell_angle_alpha 90.00
_cell_angle_beta 90.00
_cell_angle_gamma 90.00
_space_group_name_H-M_alt 'I 4/m m m'
_space_group_IT_number 139
_space_group_name_Hall '-I 4 2'
loop_
_atom_site_label
_atom_site_fract_x
_atom_site_fract_y
_atom_site_fract_z
Li1 0.000 0.000 0.000
Pr1 0.000 0.000 0.260
Ag1 0.000 0.000 0.500
Ag2 0.000 0.500 0.102
```

---

VASP calculation (PBE) on an optimized crystal structure of TlPtCl.

## Properties
Energy relative to the elements, uncorrected in eV/atom: 0.04
Size of the total moment in μB/cell: 0.0
Final energy in eV for the cell shown: -40.5
Polymorph energy (0 for the lowest one) in meV/atom: 54

```
data_TlPtCl
_chemical_formula_sum 'Tl4 Pt4 Cl4'
_cell_length_a 6.591
_cell_length_b 6.591
_cell_length_c 6.591
_cell_angle_alpha 90.00
_cell_angle_beta 90.00
_cell_angle_gamma 90.00
_space_group_name_H-M_alt 'F -4 3 m'
_space_group_IT_number 216
_space_group_name_Hall 'F -4 2 3'
loop_
_atom_site_label
_atom_site_fract_x
_atom_site_fract_y
_atom_site_fract_z
Tl1 0.000 0.000 0.000
Pt1 0.250 0.250 0.750
Cl1 0.000 0.000 0.500
```